Compound: Tm3AgAu2
Source: Alexandria via LeMat-Bulk
Functional: PBE-GGA
Structure: optimized geometry

Calculated values
ΔH_f (0 K) (eV/f.u.): -4.3
DOS at the Fermi energy (states/eV/f.u.): 1.86

Lattice parameters (Å, degrees): 3.5452 3.5452 10.7783 90.00 90.00 90.00
Element x y z (fractional)
Tm 0.0000 0.0000 0.0000
Tm 0.0000 0.0000 0.3291
Tm 0.0000 0.0000 0.6709
Ag 0.5000 0.5000 0.5000
Au 0.5000 0.5000 0.1678
Au 0.5000 0.5000 0.8322

***

Compound: Tm7Ag2Au2
Source: Alexandria via LeMat-Bulk
Functional: PBE-GGA
Structure: optimized geometry

Calculated values
ΔH_f (0 K) (eV/f.u.): -2.3
DOS at the Fermi energy (states/eV/f.u.): 11.81

Lattice parameters (Å, degrees): 6.6018 6.6018 7.3656 90.00 90.00 108.89
Element x y z (fractional)
Tm 0.0000 0.0000 0.0000
Tm 0.0000 0.5000 0.2753
Tm 0.0000 0.5000 0.7247
Tm 0.5000 0.0000 0.2753
Tm 0.5000 0.0000 0.7247
Tm 0.5000 0.5000 0.2613
Tm 0.5000 0.5000 0.7387
Ag 0.1820 0.1820 0.5000
Ag 0.8180 0.8180 0.5000
Au 0.2897 0.7103 0.0000
Au 0.7103 0.2897 0.0000

***

Compound: Tm2AgAu2
Source: Alexandria via LeMat-Bulk
Functional: PBE-GGA
Structure: optimized geometry

Calculated values
ΔH_f (0 K) (eV/f.u.): -3.5
DOS at the Fermi energy (states/eV/f.u.): 3.13
ΔE to the lowest computed polymorph (meV per atom): 0

Lattice parameters (Å, degrees): 7.8519 7.8519 3.6419 90.00 90.00 90.00
Element x y z (fractional)
Tm 0.1677 0.3323 0.0000
Tm 0.3323 0.8323 0.0000
Tm 0.6677 0.1677 0.0000
Tm 0.8323 0.6677 0.0000
Ag 0.0000 0.0000 0.5000
Ag 0.5000 0.5000 0.5000
Au 0.1318 0.6318 0.5000
Au 0.3682 0.1318 0.5000
Au 0.6318 0.8682 0.5000
Au 0.8682 0.3682 0.5000

***

Q: What is the formula in the first record?
A: Tm3AgAu2

***

Q: Which formula does entry 3 have?
A: Tm2AgAu2